Entry 1:
Material: TbNdCuSn
Method: DFT, GGA-PBE
State: relaxed

Cell and atoms, written as CIF:
```
data_TbNdCuSn
_chemical_formula_sum 'Tb4 Nd4 Cu4 Sn4'
_symmetry_space_group_name_H-M 'F -4 3 m'
_symmetry_Int_Tables_number 216
_symmetry_space_group_name_Hall 'F -4 2 3'
_cell_length_a 7.4198
_cell_length_b 7.4198
_cell_length_c 7.4198
_cell_angle_alpha 90.00
_cell_angle_beta 90.00
_cell_angle_gamma 90.00
loop_
_atom_site_label
_atom_site_fract_x
_atom_site_fract_y
_atom_site_fract_z
_atom_site_occupancy
Tb1 0.0000 0.0000 0.0000 1
Nd1 0.0000 0.0000 0.5000 1
Cu1 0.2500 0.2500 0.2500 1
Sn1 0.2500 0.2500 0.7500 1
```

Total magnetization in μB per formula unit: 0.0
E_form in eV per atom: -0.421


Entry 2:
Material: Ba2AcHg
Method: DFT, GGA-PBE
State: relaxed

Cell and atoms, written as CIF:
```
data_Ba2AcHg
_chemical_formula_sum 'Ba2 Ac1 Hg1'
_symmetry_space_group_name_H-M 'P 4/m m m'
_symmetry_Int_Tables_number 123
_symmetry_space_group_name_Hall '-P 4 2'
_cell_length_a 6.4115
_cell_length_b 6.4115
_cell_length_c 4.3143
_cell_angle_alpha 90.00
_cell_angle_beta 90.00
_cell_angle_gamma 90.00
loop_
_atom_site_label
_atom_site_fract_x
_atom_site_fract_y
_atom_site_fract_z
_atom_site_occupancy
Ba1 0.0000 0.5000 0.0000 1
Ac1 0.0000 0.0000 0.5000 1
Hg1 0.5000 0.5000 0.5000 1
```

Total magnetization in μB per formula unit: 0.0
Polymorph energy (0 for the lowest one) in eV/atom: 0.1538
E_form in eV per atom: -0.031


Entry 3:
Material: Na3HfSb
Method: DFT, GGA-PBE
State: relaxed

Cell and atoms, written as CIF:
```
data_Na3HfSb
_chemical_formula_sum 'Na3 Hf1 Sb1'
_symmetry_space_group_name_H-M 'P m -3 m'
_symmetry_Int_Tables_number 221
_symmetry_space_group_name_Hall '-P 4 2 3'
_cell_length_a 5.8961
_cell_length_b 5.8961
_cell_length_c 5.8961
_cell_angle_alpha 90.00
_cell_angle_beta 90.00
_cell_angle_gamma 90.00
loop_
_atom_site_label
_atom_site_fract_x
_atom_site_fract_y
_atom_site_fract_z
_atom_site_occupancy
Na1 0.0000 0.0000 0.5000 1
Hf1 0.0000 0.0000 0.0000 1
Sb1 0.5000 0.5000 0.5000 1
```

Total magnetization in μB per formula unit: 2.0
Uncorrected formation energy in meV/atom: 1322


Entry 4:
Material: LaFeTe2
Method: DFT, GGA-PBE
State: relaxed

Cell and atoms, written as CIF:
```
data_LaFeTe2
_chemical_formula_sum 'La4 Fe4 Te8'
_symmetry_space_group_name_H-M 'F -4 3 m'
_symmetry_Int_Tables_number 216
_symmetry_space_group_name_Hall 'F -4 2 3'
_cell_length_a 7.4977
_cell_length_b 7.4977
_cell_length_c 7.4977
_cell_angle_alpha 90.00
_cell_angle_beta 90.00
_cell_angle_gamma 90.00
loop_
_atom_site_label
_atom_site_fract_x
_atom_site_fract_y
_atom_site_fract_z
_atom_site_occupancy
La1 0.0000 0.0000 0.0000 1
Fe1 0.2500 0.2500 0.7500 1
Te1 0.0000 0.0000 0.5000 1
Te2 0.2500 0.2500 0.2500 1
```

Total magnetization in μB per formula unit: 3.0
Uncorrected formation energy in meV/atom: -47


Entry 5:
Material: BaZnHg2
Method: DFT, GGA-PBE
State: relaxed

Cell and atoms, written as CIF:
```
data_BaZnHg2
_chemical_formula_sum 'Ba1 Zn1 Hg2'
_symmetry_space_group_name_H-M 'P 1 m 1'
_symmetry_Int_Tables_number 6
_cell_length_a 4.0951
_cell_length_b 4.4006
_cell_length_c 6.9174
_cell_angle_alpha 90.00
_cell_angle_beta 103.87
_cell_angle_gamma 90.00
loop_
_symmetry_equiv_pos_as_xyz
'x,y,z'
'x,-y,z'
loop_
_atom_site_label
_atom_site_fract_x
_atom_site_fract_y
_atom_site_fract_z
_atom_site_occupancy
Ba1 0.0000 0.0000 0.0000 1
Zn1 0.4216 0.5000 0.7122 1
Hg1 0.1136 0.0000 0.5178 1
Hg2 0.6076 0.5000 0.3111 1
```

Total magnetization in μB per formula unit: 0.0
E_form in eV per atom: -0.224


Entry 6:
Material: DyTmCdAg
Method: DFT, GGA-PBE
State: relaxed

Cell and atoms, written as CIF:
```
data_DyTmCdAg
_chemical_formula_sum 'Dy1 Tm1 Cd1 Ag1'
_symmetry_space_group_name_H-M 'P 4 m m'
_symmetry_Int_Tables_number 99
_cell_length_a 3.6663
_cell_length_b 3.6663
_cell_length_c 7.3210
_cell_angle_alpha 90.00
_cell_angle_beta 90.00
_cell_angle_gamma 90.00
loop_
_symmetry_equiv_pos_as_xyz
'x,y,z'
'-y,x,z'
'-x,-y,z'
'y,-x,z'
'-x,y,z'
'y,x,z'
'x,-y,z'
'-y,-x,z'
loop_
_atom_site_label
_atom_site_fract_x
_atom_site_fract_y
_atom_site_fract_z
_atom_site_occupancy
Dy1 0.0000 0.0000 0.0000 1
Tm1 0.0000 0.0000 0.4830 1
Cd1 0.5000 0.5000 0.7371 1
Ag1 0.5000 0.5000 0.2487 1
```

Total magnetization in μB per formula unit: 0.0
Polymorph energy (0 for the lowest one) in eV/atom: 0.0000
E_form in eV per atom: -0.318


Entry 7:
Material: LaAg2Br
Method: DFT, GGA-PBE
State: relaxed

Cell and atoms, written as CIF:
```
data_LaAg2Br
_chemical_formula_sum 'La1 Ag2 Br1'
_symmetry_space_group_name_H-M 'P 1 m 1'
_symmetry_Int_Tables_number 6
_cell_length_a 3.6941
_cell_length_b 3.6764
_cell_length_c 8.1083
_cell_angle_alpha 90.00
_cell_angle_beta 103.00
_cell_angle_gamma 90.00
loop_
_symmetry_equiv_pos_as_xyz
'x,y,z'
'x,-y,z'
loop_
_atom_site_label
_atom_site_fract_x
_atom_site_fract_y
_atom_site_fract_z
_atom_site_occupancy
La1 0.0000 0.0000 0.0000 1
Ag1 0.3741 0.5000 0.7460 1
Ag2 0.7992 0.0000 0.5950 1
Br1 0.6149 0.5000 0.2330 1
```

Total magnetization in μB per formula unit: 0.0
Uncorrected formation energy in meV/atom: -527
Polymorph energy (0 for the lowest one) in eV/atom: 0.0342


Entry 8:
Material: LaTl2Zn3F12
Method: DFT, GGA-PBE
State: relaxed

Cell and atoms, written as CIF:
```
data_LaTl2Zn3F12
_chemical_formula_sum 'La3 Tl6 Zn9 F36'
_symmetry_space_group_name_H-M 'R -3 m'
_symmetry_Int_Tables_number 166
_symmetry_space_group_name_Hall '-R 3 2"'
_cell_length_a 7.6225
_cell_length_b 7.6225
_cell_length_c 15.9180
_cell_angle_alpha 90.00
_cell_angle_beta 90.00
_cell_angle_gamma 120.00
loop_
_atom_site_label
_atom_site_fract_x
_atom_site_fract_y
_atom_site_fract_z
_atom_site_occupancy
La1 0.0000 0.0000 0.0000 1
Tl1 0.0000 0.0000 0.3907 1
Zn1 0.0000 0.5000 0.5000 1
F1 0.0514 0.5257 0.3739 1
F2 0.0917 0.5458 0.7976 1
```

Total magnetization in μB per formula unit: 0.0
Uncorrected formation energy in meV/atom: -2520


Entry 9:
Material: SbIr2S
Method: DFT, GGA-PBE
State: relaxed

Cell and atoms, written as CIF:
```
data_SbIr2S
_chemical_formula_sum 'Sb4 Ir8 S4'
_symmetry_space_group_name_H-M 'I -4 2 d'
_symmetry_Int_Tables_number 122
_symmetry_space_group_name_Hall 'I -4 2bw'
_cell_length_a 4.8993
_cell_length_b 4.8993
_cell_length_c 13.5905
_cell_angle_alpha 90.00
_cell_angle_beta 90.00
_cell_angle_gamma 90.00
loop_
_atom_site_label
_atom_site_fract_x
_atom_site_fract_y
_atom_site_fract_z
_atom_site_occupancy
Sb1 0.0000 0.0000 0.0000 1
Ir1 0.1680 0.2500 0.6250 1
S1 0.0000 0.0000 0.5000 1
```

Total magnetization in μB per formula unit: 0.0
Uncorrected formation energy in meV/atom: 10


Entry 10:
Material: RbAg3S
Method: DFT, GGA-PBE
State: relaxed

Cell and atoms, written as CIF:
```
data_RbAg3S
_chemical_formula_sum 'Rb1 Ag3 S1'
_symmetry_space_group_name_H-M 'P m -3 m'
_symmetry_Int_Tables_number 221
_symmetry_space_group_name_Hall '-P 4 2 3'
_cell_length_a 5.6633
_cell_length_b 5.6633
_cell_length_c 5.6633
_cell_angle_alpha 90.00
_cell_angle_beta 90.00
_cell_angle_gamma 90.00
loop_
_atom_site_label
_atom_site_fract_x
_atom_site_fract_y
_atom_site_fract_z
_atom_site_occupancy
Rb1 0.0000 0.0000 0.0000 1
Ag1 0.0000 0.0000 0.5000 1
S1 0.5000 0.5000 0.5000 1
```

Total magnetization in μB per formula unit: 0.0
Uncorrected formation energy in meV/atom: 1438
Polymorph energy (0 for the lowest one) in eV/atom: 1.2714


Entry 11:
Material: TaBe3Fe
Method: DFT, GGA-PBE
State: relaxed

Cell and atoms, written as CIF:
```
data_TaBe3Fe
_chemical_formula_sum 'Ta1 Be3 Fe1'
_symmetry_space_group_name_H-M 'P m -3 m'
_symmetry_Int_Tables_number 221
_symmetry_space_group_name_Hall '-P 4 2 3'
_cell_length_a 4.3053
_cell_length_b 4.3053
_cell_length_c 4.3053
_cell_angle_alpha 90.00
_cell_angle_beta 90.00
_cell_angle_gamma 90.00
loop_
_atom_site_label
_atom_site_fract_x
_atom_site_fract_y
_atom_site_fract_z
_atom_site_occupancy
Ta1 0.0000 0.0000 0.0000 1
Be1 0.0000 0.0000 0.5000 1
Fe1 0.5000 0.5000 0.5000 1
```

Total magnetization in μB per formula unit: 2.8
Polymorph energy (0 for the lowest one) in eV/atom: 1.4732
E_form in eV per atom: 1.843


- Which value of total magnetization does entry 9 give?
  0.0 μB per formula unit


- Look up the total magnetization of the sixth one.
  0.0 μB per formula unit